Density functional theory data (PBE+U) for a relaxed structure of SrZnNi2F8.

Calculated volume: 162.5 Å³ per cell
Total DFT energy (no corrections): -4.51 eV/atom
Space-group type: P2/m
Total magnetic moment: 4.00 μB per cell

abc: 4.9207 4.9896 6.6205
angles: 89.97 89.99 88.05
With the nearest neighbours (Å) after each atom.
Fractional coordinates of all 12 atoms:
F  0.2145  0.7942  0.7828  1 Ni 2.00, 1 Zn 2.04
F  0.7854  0.2057  0.7828  1 Ni 2.00, 1 Zn 2.04
F  0.3028  0.3112  0.0000  2 Ni 2.08, 1 Zn 2.19
F  0.6739  0.6632  0.5000  2 Ni 2.12, 1 Sr 2.36
F  0.2146  0.7943  0.2172  1 Ni 2.00, 1 Zn 2.04
F  0.3261  0.3368  0.5000  2 Ni 2.12, 1 Sr 2.36
F  0.6972  0.6888  0.0000  2 Ni 2.08, 1 Zn 2.19
F  0.7855  0.2058  0.2172  1 Ni 2.00, 1 Zn 2.04
Zn  0.0000  0.0000  0.0000  6 F 2.04-2.19
Ni  0.5000  0.5000  0.7640  6 F 2.00-2.12
Ni  0.5000  0.5000  0.2360  6 F 2.00-2.12
Sr  0.0000  0.0000  0.5000  6 F 2.36-2.37